Ba4In2N | GGA-PBE | optimized geometry

Computed properties:
The space-group type is Cmmm (65). The crystal system is orthorhombic. The uncorrected formation energy is -1.21 eV/f.u. The value obtained for the volume is 44.04 Å³/atom.

Lattice parameters (Å, degrees): 3.8082 5.7279 14.4203 101.46 90.00 90.00
Element x y z (fractional)
Ba (0.5000, 0.5620, 0.1240)
Ba (0.0000, 0.7034, 0.4069)
Ba (0.5000, 0.4380, 0.8760)
Ba (0.0000, 0.2966, 0.5931)
In (0.5000, 0.1697, 0.3394)
In (0.5000, 0.8303, 0.6606)
N (0.0000, 0.5000, 0.0000)